1.
18
Lattice="6.391 0.000 0.000 -3.196 10.863 -5.348 0.000 -3.823 10.934" Properties=species:S:1:pos:R:3 comment="Tb5Nd3Sm, optimized geometry, DFT PBE" formation_energy_ev_per_atom=0.28 pbc="T T T"
Nd 1.128 4.780 4.040
Nd 2.068 2.259 1.547
Nd -1.128 6.692 -1.427
Nd 0.000 0.000 0.000
Nd 4.323 0.348 7.014
Nd 0.000 -1.911 5.467
Tb 1.839 1.385 4.988
Tb 1.117 0.039 8.618
Tb 2.558 -2.867 8.201
Tb 3.833 -0.956 2.734
Tb 1.357 5.655 0.599
Tb 5.274 1.950 3.151
Tb -2.079 5.089 2.436
Tb 4.552 3.296 -0.479
Tb 2.079 7.001 -3.031
Tb -1.357 3.744 6.066
Sm 5.599 -2.867 8.201
Sm 0.792 -0.956 2.734



2.
11
Lattice="8.700 0.000 0.000 0.000 7.110 0.000 0.000 -3.555 6.157" Properties=species:S:1:pos:R:3 comment="Tb7NdSm3, optimized geometry, DFT PBE" formation_energy_ev_per_atom=0.18 e_above_lowest_polymorph_ev_per_atom=0.044 pbc="T T T"
Sm 6.823 1.781 3.076
Sm 6.823 3.555 0.005
Sm 6.823 5.328 3.076
Tb 3.894 1.789 1.033
Tb 1.024 -1.769 5.126
Tb 1.058 3.555 2.052
Tb 3.894 5.321 1.033
Tb 3.894 3.555 4.092
Tb 1.024 1.769 5.126
Tb 1.024 0.000 2.062
Nd 3.872 0.000 4.105



3.
6
Lattice="3.484 0.000 0.000 0.000 8.261 0.383 0.000 -0.345 8.263" Properties=species:S:1:pos:R:3 comment="TbNdSm, optimized geometry, DFT PBE" formation_energy_ev_per_atom=0.63 e_above_lowest_polymorph_ev_per_atom=0.612 pbc="T T T"
Sm 1.742 1.707 6.383
Sm 1.742 6.209 2.262
Tb 0.000 0.000 0.000
Tb 1.742 3.958 4.323
Nd 0.000 5.849 6.388
Nd 0.000 2.067 2.258



4.
18
Lattice="6.822 0.000 0.000 -3.411 7.873 -2.705 0.000 -0.242 11.661" Properties=species:S:1:pos:R:3 comment="TbNd3Sm5, optimized geometry, DFT PBE" formation_energy_ev_per_atom=0.15 pbc="T T T"
Sm 0.014 6.064 3.162
Sm 3.424 1.689 -0.036
Sm 4.643 -0.061 2.915
Sm 2.672 5.097 -0.137
Sm 4.149 4.976 5.694
Sm 0.739 2.534 9.093
Sm -0.014 5.942 8.992
Sm 3.397 1.567 5.794
Sm 2.179 -0.182 8.746
Sm -0.739 2.655 3.262
Tb 1.577 -0.061 2.915
Tb 5.245 -0.182 8.746
Nd 0.765 3.953 6.016
Nd 2.646 3.678 2.941
Nd -0.765 4.075 0.185
Nd 0.000 -0.121 5.830
Nd 4.176 3.556 8.771
Nd 0.000 0.000 0.000



5.
11
Lattice="-2.935 -0.038 -7.072 -3.256 -6.790 1.388 -2.460 6.546 5.131" Properties=species:S:1:pos:R:3 comment="TbNd4Sm6, optimized geometry, DFT PBE" formation_energy_ev_per_atom=0.39 e_above_lowest_polymorph_ev_per_atom=0.104 pbc="T T T"
Sm -1.628 -3.395 0.694
Sm -1.468 -0.019 -3.536
Sm -5.095 -0.704 -3.919
Sm -5.242 -3.787 -0.057
Sm -4.896 0.405 0.137
Sm -2.069 3.522 2.732
Nd -4.570 4.841 -0.838
Nd -1.954 -0.687 -0.622
Nd -5.999 -5.148 -4.336
Nd -4.779 0.429 4.690
Tb -3.096 -3.414 -2.842



6.
12
Lattice="-1.130 -1.004 -3.213 2.722 -5.723 0.831 -12.953 -10.056 7.698" Properties=species:S:1:pos:R:3 comment="Tb7Nd2Sm3, optimized geometry, DFT PBE" formation_energy_ev_per_atom=0.08 e_above_lowest_polymorph_ev_per_atom=0.000 pbc="T T T"
Tb 0.000 0.000 0.000
Tb -0.593 -4.865 1.729
Tb -8.813 -14.271 5.597
Tb -9.638 -10.914 6.801
Tb -6.384 -6.932 2.449
Tb -4.977 -9.851 2.867
Tb -2.547 -2.512 -0.281
Nd -3.129 -7.315 1.424
Nd -8.232 -9.468 3.892
Sm -6.122 -11.715 5.814
Sm -4.109 -4.064 2.715
Sm 0.796 -3.363 -1.191



7.
12
Lattice="-7.137 0.161 1.158 6.076 4.750 -8.458 -6.738 -9.970 5.050" Properties=species:S:1:pos:R:3 comment="Tb5Nd4Sm3, optimized geometry, DFT PBE" formation_energy_ev_per_atom=0.01 e_above_lowest_polymorph_ev_per_atom=0.000 pbc="T T T"
Tb -6.938 -4.905 3.104
Tb -3.941 -5.102 -1.032
Tb 1.264 2.413 -3.943
Tb -3.858 0.043 -1.217
Tb -9.063 -7.473 1.694
Nd -0.291 -0.046 -1.804
Nd -7.508 -5.014 -0.445
Nd -5.964 -2.537 -2.632
Nd -1.835 -2.522 0.383
Sm -3.369 -4.985 2.525
Sm -2.415 -2.618 -3.212
Sm -5.384 -2.441 0.963



8.
11
Lattice="-4.520 1.569 0.306 -1.511 -4.494 0.714 4.825 3.468 15.950" Properties=species:S:1:pos:R:3 comment="Tb6Nd3Sm2, optimized geometry, DFT PBE" formation_energy_ev_per_atom=0.26 e_above_lowest_polymorph_ev_per_atom=0.070 pbc="T T T"
Tb 1.108 1.228 10.080
Tb -2.314 -0.685 6.889
Tb 0.618 -0.724 12.853
Tb -0.886 2.307 12.649
Tb -1.824 1.267 4.117
Tb -0.320 -1.764 4.321
Nd 0.734 0.814 6.679
Nd 0.000 0.000 0.000
Nd -1.940 -0.271 10.290
Sm 1.643 1.821 14.948
Sm -2.850 -1.278 2.021



9.
14
Lattice="-4.751 -2.423 -3.027 -1.712 -3.418 5.423 -4.034 9.901 4.966" Properties=species:S:1:pos:R:3 comment="Tb4NdSm2, optimized geometry, DFT PBE" formation_energy_ev_per_atom=0.12 e_above_lowest_polymorph_ev_per_atom=0.082 pbc="T T T"
Tb -4.196 1.291 -0.448
Tb -5.472 4.425 5.182
Tb -1.165 0.726 2.119
Tb -6.301 2.768 7.810
Tb -9.332 3.334 5.243
Tb -3.668 1.309 5.755
Tb -5.026 -0.365 2.180
Tb -6.829 2.751 1.607
Sm -6.286 8.016 5.097
Sm -4.211 -3.956 2.265
Sm -6.855 1.177 4.666
Sm -3.642 2.882 2.696
Nd -2.658 -1.591 4.246
Nd -7.839 5.651 3.116



10.
13
Lattice="-5.937 -1.649 0.896 1.323 -7.732 1.790 0.842 -1.889 9.297" Properties=species:S:1:pos:R:3 comment="Tb8Nd3Sm2, optimized geometry, DFT PBE" formation_energy_ev_per_atom=0.01 e_above_lowest_polymorph_ev_per_atom=0.000 pbc="T T T"
Tb 1.239 -7.965 8.009
Tb -4.099 -4.949 7.026
Tb -0.672 -4.951 8.109
Tb -3.185 -6.588 10.099
Tb 0.327 -6.322 4.958
Tb -0.588 -4.682 1.885
Tb -3.100 -6.319 3.875
Tb -5.011 -3.305 3.975
Nd 0.000 0.000 0.000
Nd -1.269 -9.617 9.993
Nd -2.503 -1.654 1.991
Sm -1.582 -3.300 5.048
Sm -2.190 -7.970 6.936



11.
7
Lattice="-0.970 -2.069 2.754 -0.236 -7.114 -5.419 7.764 3.013 2.667" Properties=species:S:1:pos:R:3 comment="TbNd2Sm4, optimized geometry, DFT PBE" formation_energy_ev_per_atom=0.05 e_above_lowest_polymorph_ev_per_atom=0.038 pbc="T T T"
Sm 2.429 -2.295 1.455
Sm 5.162 0.317 2.056
Sm 4.130 -3.876 -1.454
Sm 1.397 -6.487 -2.054
Nd 0.917 -2.772 -1.758
Nd 5.642 -3.399 1.760
Tb 0.000 0.000 0.000



12.
12
Lattice="-2.975 3.314 2.625 2.495 -1.214 4.361 10.238 11.332 -2.705" Properties=species:S:1:pos:R:3 comment="Tb2Nd9Sm, optimized geometry, DFT PBE" formation_energy_ev_per_atom=0.01 pbc="T T T"
Tb 3.418 3.783 -0.903
Tb 6.821 7.549 -1.802
Nd 6.367 5.059 0.828
Nd 3.180 4.835 2.589
Nd 3.632 7.323 -0.040
Nd 2.963 1.291 1.727
Nd 6.579 8.597 1.692
Nd 0.228 3.555 0.859
Nd -0.240 1.050 3.493
Nd 9.771 8.827 -0.071
Nd 7.036 11.091 -0.939
Sm 0.000 0.000 0.000



13.
18
Lattice="5.762 1.640 1.174 2.069 11.183 0.799 2.069 4.360 10.329" Properties=species:S:1:pos:R:3 comment="Tb4Nd2Sm3, optimized geometry, DFT PBE" formation_energy_ev_per_atom=0.09 e_above_lowest_polymorph_ev_per_atom=0.076 pbc="T T T"
Sm 6.390 7.985 7.864
Sm 4.855 14.413 8.139
Sm 3.509 9.197 4.438
Sm 2.163 4.013 0.693
Sm 5.044 2.769 4.163
Sm 7.736 13.169 11.609
Tb 5.386 11.296 9.673
Tb 7.630 7.569 11.062
Tb 8.267 13.616 8.164
Tb 4.513 5.886 2.629
Tb 5.150 5.091 9.288
Tb 2.269 9.613 1.240
Tb 1.632 3.566 4.138
Tb 4.749 12.091 3.014
Nd 4.109 6.047 5.990
Nd 2.909 8.743 7.921
Nd 5.790 11.135 6.312
Nd 6.990 8.439 4.381



14.
29
Lattice="-10.997 2.477 0.536 -5.364 -0.258 9.925 -3.389 9.618 4.834" Properties=species:S:1:pos:R:3 comment="Tb16Nd7Sm6, optimized geometry, DFT PBE" formation_energy_ev_per_atom=0.24 pbc="T T T"
Nd -5.498 1.238 0.268
Nd 0.000 0.000 0.000
Nd -2.682 -0.129 4.963
Nd -4.376 4.680 7.379
Nd -7.193 6.047 2.685
Nd -8.180 1.110 5.231
Nd -1.694 4.809 2.417
Tb -6.217 6.210 9.632
Tb -4.183 6.201 4.315
Tb -12.855 7.705 9.956
Tb -5.145 1.393 6.794
Tb -6.894 4.132 5.339
Tb -10.810 1.899 7.038
Tb -10.132 3.976 11.331
Tb -15.566 5.636 10.980
Tb -7.887 2.724 2.223
Tb -14.604 10.444 8.501
Tb -8.940 9.938 8.257
Tb -9.617 7.860 3.964
Tb -11.862 9.113 13.072
Tb -17.216 10.318 13.333
Tb -2.534 1.519 1.962
Tb -13.533 5.627 5.663
Sm -12.928 4.177 8.972
Sm -7.752 3.011 8.720
Sm -6.822 7.660 6.323
Sm -10.403 4.298 4.300
Sm -9.347 7.539 10.995
Sm -11.998 8.826 6.576



15.
16
Lattice="-4.230 5.915 -0.411 -1.944 -6.113 -3.452 -5.854 -3.524 9.538" Properties=species:S:1:pos:R:3 comment="TbNdSm14, optimized geometry, DFT PBE" formation_energy_ev_per_atom=0.00 pbc="T T T"
Sm -8.341 1.766 6.373
Sm -4.371 -2.316 3.678
Sm -1.070 -2.553 -1.600
Sm -6.216 -1.188 6.569
Sm -3.182 0.403 -1.804
Sm -4.152 -2.652 -3.528
Sm -4.270 -2.488 0.083
Sm -5.402 3.536 1.585
Sm -7.465 -2.415 1.743
Sm -7.185 -4.243 4.833
Sm -3.291 0.573 1.803
Sm -9.309 -1.287 4.634
Sm -6.384 0.474 -0.132
Sm -2.040 -5.608 -3.324
Tb -5.346 -5.372 1.950
Nd -6.490 0.645 3.472



16.
12
Lattice="3.642 0.000 0.000 0.000 5.935 0.259 0.000 -2.010 19.073" Properties=species:S:1:pos:R:3 comment="Tb3Nd7Sm2, optimized geometry, DFT PBE" formation_energy_ev_per_atom=0.09 e_above_lowest_polymorph_ev_per_atom=0.020 pbc="T T T"
Nd 1.821 0.454 10.284
Nd 0.000 0.201 16.406
Nd 1.821 3.226 15.833
Nd 0.000 0.000 0.000
Nd 1.821 3.471 9.047
Nd 0.000 3.724 2.926
Nd 1.821 0.699 3.499
Tb 0.000 0.545 7.075
Tb 0.000 3.380 12.257
Tb 1.821 2.967 0.129
Sm 1.821 3.588 5.846
Sm 1.821 0.337 13.485



17.
11
Lattice="-2.227 6.595 -6.901 1.249 -9.672 0.983 -4.332 -5.063 7.188" Properties=species:S:1:pos:R:3 comment="TbNd4Sm6, optimized geometry, DFT PBE" formation_energy_ev_per_atom=0.28 e_above_lowest_polymorph_ev_per_atom=0.000 pbc="T T T"
Nd -1.974 -2.896 0.375
Nd -4.425 -10.450 3.782
Nd 0.735 -6.195 0.717
Nd -2.729 -3.335 4.568
Sm -0.489 -1.538 -2.959
Sm -3.279 0.766 0.144
Sm -0.941 -10.011 4.007
Sm -2.908 -8.387 6.194
Sm -2.057 1.331 -2.838
Sm -2.487 -5.809 2.078
Tb 0.000 0.000 0.000



18.
11
Lattice="8.297 0.372 -0.583 -1.599 6.299 -2.449 -0.694 0.711 6.873" Properties=species:S:1:pos:R:3 comment="Tb2Nd2Sm7, optimized geometry, DFT PBE" formation_energy_ev_per_atom=0.15 e_above_lowest_polymorph_ev_per_atom=0.000 pbc="T T T"
Sm 4.127 4.003 4.623
Sm 4.695 3.182 1.451
Sm 2.249 1.080 3.054
Sm 4.148 0.186 -0.292
Sm 1.877 3.379 -0.782
Sm 1.309 4.200 2.390
Sm 3.755 6.302 0.788
Tb 7.604 1.700 0.280
Tb -1.600 5.682 3.561
Nd 6.956 5.075 -0.369
Nd -0.952 2.307 4.211



19.
11
Lattice="-2.628 2.049 -1.419 -0.347 -5.714 -7.609 -6.108 -4.418 9.555" Properties=species:S:1:pos:R:3 comment="Tb4Nd4Sm3, optimized geometry, DFT PBE" formation_energy_ev_per_atom=0.13 e_above_lowest_polymorph_ev_per_atom=0.000 pbc="T T T"
Tb -4.962 -1.977 1.711
Tb -1.598 -3.644 -6.926
Tb -1.377 -0.021 -2.102
Tb -4.121 -6.106 -1.185
Nd -3.634 -2.636 -1.699
Nd -5.326 -3.420 4.925
Nd -3.757 -4.663 -4.399
Nd -5.450 -5.447 2.226
Sm -7.446 -6.736 -0.560
Sm -0.174 -2.857 -3.805
Sm -1.638 -1.348 1.087



Number 1: total DFT energy (no corrections) -4.404 eV/atom. Number 2: total DFT energy (no corrections) -4.485 eV/atom. Number 3: total DFT energy (no corrections) -4.079 eV/atom. Number 4: total DFT energy (no corrections) -4.575 eV/atom. Number 5: total DFT energy (no corrections) -4.340 eV/atom. Number 6: total DFT energy (no corrections) -4.597 eV/atom. Number 7: total DFT energy (no corrections) -4.685 eV/atom. Number 8: total DFT energy (no corrections) -4.424 eV/atom. Number 9: total DFT energy (no corrections) -4.554 eV/atom. Number 10: total DFT energy (no corrections) -4.661 eV/atom. Number 11: total DFT energy (no corrections) -4.671 eV/atom. Number 12: total DFT energy (no corrections) -4.726 eV/atom. Number 13: total DFT energy (no corrections) -4.600 eV/atom. Number 14: total DFT energy (no corrections) -4.442 eV/atom. Number 15: total DFT energy (no corrections) -4.717 eV/atom. Number 16: total DFT energy (no corrections) -4.638 eV/atom. Number 17: total DFT energy (no corrections) -4.444 eV/atom. Number 18: total DFT energy (no corrections) -4.565 eV/atom. Number 19: total DFT energy (no corrections) -4.577 eV/atom.